# 1
The following is a meta-GGA SCAN calculation of a PBEsol-optimized structure of La2Cr, from Alexandria.

a b c (Å): 3.7150 3.7150 6.3529
angles (deg): 107.00 107.00 90.00
Last column: nearest neighbours and their distance in Å.
Element x y z (fractional)
La 0.6515 0.6515 0.3030  4 Cr 3.16, 5 La 3.48-3.51
La 0.3485 0.3485 0.6970  4 Cr 3.16, 5 La 3.48-3.51
Cr 0.0000 0.0000 0.0000  8 La 3.16

Properties
Total moment in μB per cell: 3.3
Energy relative to the elements in meV per atom: 161
VASP energy in eV/f.u.: -104.11

=====

# 2
The following is a meta-GGA SCAN calculation of a PBEsol-optimized structure of Mg4Ag5, from Alexandria.

a b c (Å): 4.2665 6.5062 6.5062
angles (deg): 83.83 70.86 70.86
Last column: nearest neighbours and their distance in Å.
Element x y z (fractional)
Ag 0.3329 0.3342 0.0000  6 Mg 2.88-2.90, 6 Ag 2.90-2.96
Ag 0.0000 0.0000 0.0000  4 Mg 2.74, 8 Ag 2.96
Ag 0.6671 0.0000 0.6658  6 Mg 2.88-2.90, 6 Ag 2.90-2.96
Ag 0.6671 0.6658 0.0000  6 Mg 2.88-2.90, 6 Ag 2.90-2.96
Ag 0.3329 0.0000 0.3342  6 Mg 2.88-2.90, 6 Ag 2.90-2.96
Mg 0.0000 0.6848 0.3152  7 Ag 2.74-2.90
Mg 0.6848 0.3152 0.3152  7 Ag 2.74-2.90
Mg 0.0000 0.3152 0.6848  7 Ag 2.74-2.90
Mg 0.3152 0.6848 0.6848  7 Ag 2.74-2.90

Properties
Total moment in μB per cell: 0.0
Energy relative to the elements in meV per atom: -175
VASP energy in eV/f.u.: -178.30

=====

# 3
The following is a meta-GGA SCAN calculation of a PBEsol-optimized structure of LaCo4W, from Alexandria.

a b c (Å): 4.8373 4.8373 4.8373
angles (deg): 60.00 60.00 60.00
Last column: nearest neighbours and their distance in Å.
Element x y z (fractional)
Co 0.3745 0.8764 0.3745  6 Co 2.41-2.43
Co 0.3745 0.3745 0.8764  6 Co 2.41-2.43
Co 0.8764 0.3745 0.3745  6 Co 2.41-2.43
Co 0.3745 0.3745 0.3745  6 Co 2.41-2.43
La 0.7500 0.7500 0.7500  12 Co 2.84, 4 W 2.96
W 0.0000 0.0000 0.0000  12 Co 2.84, 4 La 2.96

Properties
Total moment in μB per cell: 1.6
Energy relative to the elements in meV per atom: 573
VASP energy in eV/f.u.: -178.57